(1)
# Dy2ZnBRh6 | the Alexandria database | PBE | optimized geometry
data_Dy2ZnBRh6
_chemical_formula_sum 'Dy4 Zn2 B2 Rh12'
_cell_length_a 6.191
_cell_length_b 6.201
_cell_length_c 8.761
_cell_angle_alpha 90.00
_cell_angle_beta 90.00
_cell_angle_gamma 90.00
_symmetry_space_group_name_H-M 'I m m m'
_symmetry_Int_Tables_number 71
_symmetry_space_group_name_Hall '-I 2 2'
loop_
_atom_site_label
_atom_site_fract_x
_atom_site_fract_y
_atom_site_fract_z
Dy1 0.000 0.000 0.250
Zn1 0.000 0.500 0.000
B1 0.000 0.500 0.500
Rh1 0.000 0.500 0.269
Rh2 0.231 0.269 0.500
# E (eV/atom): -6.5848
# Volume (Å³ per atom): 16.819
# ΔE_f (eV/atom): -0.458

(2)
# Dy2ZnB2Rh5 | the Alexandria database | PBE | optimized geometry
data_Dy2ZnB2Rh5
_chemical_formula_sum 'Dy4 Zn2 B4 Rh10'
_cell_length_a 9.514
_cell_length_b 9.514
_cell_length_c 3.183
_cell_angle_alpha 90.00
_cell_angle_beta 90.00
_cell_angle_gamma 90.00
_symmetry_space_group_name_H-M 'P 4/m b m'
_symmetry_Int_Tables_number 127
_symmetry_space_group_name_Hall '-P 4 2ab'
loop_
_atom_site_label
_atom_site_fract_x
_atom_site_fract_y
_atom_site_fract_z
Dy1 0.176 0.324 0.000
Zn1 0.000 0.000 0.000
B1 0.124 0.624 0.000
Rh1 0.000 0.500 0.500
Rh2 0.070 0.780 0.500
# E (eV/atom): -6.8216
# Volume (Å³ per atom): 14.405
# ΔE_f (eV/atom): -0.763